1.
Compound: PmVSe
Source: the Alexandria database
Functional: PBE
Structure: relaxed Values from VASP.

Quantum ESPRESSO input file:
```
&SYSTEM
  ibrav = 0, nat = 6, ntyp = 3
/
ATOMIC_SPECIES
Pm 145.00 Pm.upf
V 50.94 V.upf
Se 78.96 Se.upf
CELL_PARAMETERS angstrom
-1.749 3.645 6.773
1.749 -3.645 6.773
1.749 3.645 -6.773
ATOMIC_POSITIONS crystal
Pm 0.244 0.000 0.244
Pm 0.756 0.000 0.756
V 0.305 0.805 0.500
V 0.695 0.195 0.500
Se 0.122 0.622 0.500
Se 0.878 0.378 0.500
```

## Properties
ΔE_f (raw): 0.12 eV/atom
space-group type: Immm (71)

=====

2.
Compound: Rb2Zn3CdAu4
Source: the Alexandria database
Functional: PBE
Structure: relaxed Values from VASP.

Quantum ESPRESSO input file:
```
&SYSTEM
  ibrav = 0, nat = 10, ntyp = 4
/
ATOMIC_SPECIES
Rb 85.47 Rb.upf
Zn 65.41 Zn.upf
Cd 112.41 Cd.upf
Au 196.97 Au.upf
CELL_PARAMETERS angstrom
4.809 0.000 0.000
0.000 4.809 0.000
0.000 0.000 10.658
ATOMIC_POSITIONS crystal
Rb 0.000 0.500 0.244
Rb 0.500 0.000 0.756
Zn 0.000 0.500 0.886
Zn 0.500 0.000 0.114
Zn 0.500 0.500 0.500
Cd 0.000 0.000 0.500
Au 0.000 0.000 0.000
Au 0.000 0.500 0.637
Au 0.500 0.000 0.363
Au 0.500 0.500 0.000
```

## Properties
energy relative to the elements: -2.00 eV/f.u.
space-group type: P-4m2 (115)

=====

3.
Compound: CsSrBe2
Source: the Alexandria database
Functional: PBE
Structure: relaxed Values from VASP.

Quantum ESPRESSO input file:
```
&SYSTEM
  ibrav = 0, nat = 4, ntyp = 3
/
ATOMIC_SPECIES
Cs 132.91 Cs.upf
Sr 87.62 Sr.upf
Be 9.01 Be.upf
CELL_PARAMETERS angstrom
0.000 4.005 4.005
4.005 0.000 4.005
4.005 4.005 0.000
ATOMIC_POSITIONS crystal
Cs 0.000 0.000 0.000
Sr 0.500 0.500 0.500
Be 0.250 0.250 0.250
Be 0.750 0.750 0.750
```

## Properties
energy relative to the elements: 4.22 eV/f.u.
space-group type: Fm-3m (225)

=====

4.
Compound: BaAl2TlPb
Source: the Alexandria database
Functional: PBE
Structure: relaxed Values from VASP.

Quantum ESPRESSO input file:
```
&SYSTEM
  ibrav = 0, nat = 5, ntyp = 4
/
ATOMIC_SPECIES
Ba 137.33 Ba.upf
Al 26.98 Al.upf
Tl 204.38 Tl.upf
Pb 207.20 Pb.upf
CELL_PARAMETERS angstrom
5.930 0.000 0.000
0.000 5.930 0.000
0.000 0.000 6.189
ATOMIC_POSITIONS crystal
Ba 0.000 0.000 0.000
Al 0.000 0.500 0.000
Al 0.500 0.000 0.000
Tl 0.000 0.000 0.500
Pb 0.500 0.500 0.500
```

## Properties
energy relative to the elements: 5.33 eV/f.u.
space-group type: P4/mmm (123)

=====

5.
Compound: PmZnGe2Os
Source: the Alexandria database
Functional: PBE
Structure: relaxed Values from VASP.

Quantum ESPRESSO input file:
```
&SYSTEM
  ibrav = 0, nat = 5, ntyp = 4
/
ATOMIC_SPECIES
Pm 145.00 Pm.upf
Zn 65.41 Zn.upf
Ge 72.64 Ge.upf
Os 190.23 Os.upf
CELL_PARAMETERS angstrom
-2.043 2.043 5.540
2.043 -2.043 5.540
2.043 2.043 -5.540
ATOMIC_POSITIONS crystal
Pm 0.000 0.000 0.000
Zn 0.250 0.750 0.500
Ge 0.383 0.383 0.000
Ge 0.617 0.617 0.000
Os 0.750 0.250 0.500
```

## Properties
energy relative to the elements: -1.60 eV/f.u.
space-group type: I-4m2 (119)

=====

6.
Compound: ErTm3Te4
Source: the Alexandria database
Functional: PBE
Structure: relaxed Values from VASP.

Quantum ESPRESSO input file:
```
&SYSTEM
  ibrav = 0, nat = 16, ntyp = 3
/
ATOMIC_SPECIES
Er 167.26 Er.upf
Tm 168.93 Tm.upf
Te 127.60 Te.upf
CELL_PARAMETERS angstrom
9.210 0.000 0.000
0.000 7.832 0.000
0.000 0.000 8.159
ATOMIC_POSITIONS crystal
Er 0.000 0.117 0.000
Er 0.500 0.883 0.500
Tm 0.000 0.841 0.362
Tm 0.199 0.712 0.998
Tm 0.301 0.288 0.498
Tm 0.500 0.159 0.862
Tm 0.699 0.288 0.498
Tm 0.801 0.712 0.998
Te 0.000 0.223 0.358
Te 0.000 0.845 0.737
Te 0.223 0.356 0.851
Te 0.277 0.644 0.351
Te 0.500 0.155 0.237
Te 0.500 0.777 0.858
Te 0.723 0.644 0.351
Te 0.777 0.356 0.851
```

## Properties
ΔE_f (raw): -0.91 eV/atom
space-group type: Pmn2_1 (31)

=====

7.
Compound: Be2BiSeO
Source: the Alexandria database
Functional: PBE
Structure: relaxed Values from VASP.

Quantum ESPRESSO input file:
```
&SYSTEM
  ibrav = 0, nat = 5, ntyp = 4
/
ATOMIC_SPECIES
Be 9.01 Be.upf
Bi 208.98 Bi.upf
Se 78.96 Se.upf
O 16.00 O.upf
CELL_PARAMETERS angstrom
4.845 0.000 0.000
0.000 4.845 0.000
0.000 0.000 4.299
ATOMIC_POSITIONS crystal
Be 0.000 0.500 0.000
Be 0.500 0.000 0.000
Bi 0.000 0.000 0.000
Se 0.500 0.500 0.500
O 0.000 0.000 0.500
```

## Properties
ΔE_f (raw): 0.75 eV/atom
space-group type: P4/mmm (123)

=====

8.
Compound: Lu2TlPb
Source: the Alexandria database
Functional: PBE
Structure: relaxed Values from VASP.

Quantum ESPRESSO input file:
```
&SYSTEM
  ibrav = 0, nat = 4, ntyp = 3
/
ATOMIC_SPECIES
Lu 174.97 Lu.upf
Tl 204.38 Tl.upf
Pb 207.20 Pb.upf
CELL_PARAMETERS angstrom
1.821 1.051 9.737
-1.821 1.051 9.737
0.000 -2.102 9.737
ATOMIC_POSITIONS crystal
Lu 0.248 0.248 0.248
Lu 0.752 0.752 0.752
Tl 0.500 0.500 0.500
Pb 0.000 0.000 0.000
```

## Properties
energy relative to the elements: -0.98 eV/f.u.
space-group type: R-3m (166)

=====

9.
Compound: TeP2W
Source: the Alexandria database
Functional: PBE
Structure: relaxed Values from VASP.

Quantum ESPRESSO input file:
```
&SYSTEM
  ibrav = 0, nat = 4, ntyp = 3
/
ATOMIC_SPECIES
Te 127.60 Te.upf
P 30.97 P.upf
W 183.84 W.upf
CELL_PARAMETERS angstrom
3.187 0.000 0.000
0.000 3.187 0.000
0.000 0.000 7.493
ATOMIC_POSITIONS crystal
Te 0.000 0.000 0.000
P 0.000 0.000 0.419
P 0.500 0.500 0.573
W 0.500 0.500 0.239
```

## Properties
ΔE_f (raw): 0.18 eV/atom
space-group type: P4mm (99)

=====

10.
Compound: Pr2SN
Source: the Alexandria database
Functional: PBE
Structure: relaxed Values from VASP.

Quantum ESPRESSO input file:
```
&SYSTEM
  ibrav = 0, nat = 4, ntyp = 3
/
ATOMIC_SPECIES
Pr 140.91 Pr.upf
S 32.06 S.upf
N 14.01 N.upf
CELL_PARAMETERS angstrom
1.911 1.103 6.629
-1.911 1.103 6.629
0.000 -2.206 6.629
ATOMIC_POSITIONS crystal
Pr 0.237 0.237 0.237
Pr 0.763 0.763 0.763
S 0.000 0.000 0.000
N 0.500 0.500 0.500
```

## Properties
ΔE_f (raw): -1.69 eV/atom
space-group type: R-3m (166)

=====

11.
Compound: TaAs5
Source: the Alexandria database
Functional: PBE
Structure: relaxed Values from VASP.

Quantum ESPRESSO input file:
```
&SYSTEM
  ibrav = 0, nat = 6, ntyp = 2
/
ATOMIC_SPECIES
Ta 180.95 Ta.upf
As 74.92 As.upf
CELL_PARAMETERS angstrom
0.000 3.851 3.851
3.851 0.000 3.851
3.851 3.851 0.000
ATOMIC_POSITIONS crystal
Ta 0.000 0.000 0.000
As 0.374 0.374 0.374
As 0.374 0.374 0.877
As 0.374 0.877 0.374
As 0.750 0.750 0.750
As 0.877 0.374 0.374
```

## Properties
energy relative to the elements: 3.97 eV/f.u.
space-group type: F-43m (216)

=====

12.
Compound: ReGeBi2
Source: the Alexandria database
Functional: PBE
Structure: relaxed Values from VASP.

Quantum ESPRESSO input file:
```
&SYSTEM
  ibrav = 0, nat = 8, ntyp = 3
/
ATOMIC_SPECIES
Re 186.21 Re.upf
Ge 72.64 Ge.upf
Bi 208.98 Bi.upf
CELL_PARAMETERS angstrom
-3.197 3.197 6.416
3.197 -3.197 6.416
3.197 3.197 -6.416
ATOMIC_POSITIONS crystal
Re 0.000 0.000 0.000
Re 0.750 0.250 0.500
Ge 0.250 0.750 0.500
Ge 0.500 0.500 0.000
Bi 0.098 0.625 0.973
Bi 0.375 0.348 0.473
Bi 0.652 0.125 0.027
Bi 0.875 0.902 0.527
```

## Properties
energy relative to the elements: 4.17 eV/f.u.
space-group type: I-42d (122)

=====

Number 1: DFT total energy -5.669 eV per atom. Number 2: DFT total energy -2.178 eV per atom. Number 3: DFT total energy -1.443 eV per atom. Number 4: DFT total energy -2.031 eV per atom. Number 5: DFT total energy -5.619 eV per atom. Number 6: DFT total energy -4.723 eV per atom. Number 7: DFT total energy -3.204 eV per atom. Number 8: DFT total energy -4.023 eV per atom. Number 9: DFT total energy -6.549 eV per atom. Number 10: DFT total energy -7.189 eV per atom. Number 11: DFT total energy -5.188 eV per atom. Number 12: DFT total energy -5.165 eV per atom.